Below is crystalline In2IrOs at its relaxed geometry, with properties calculated at the PBE level.

The structure belongs to space group R3m (No. 160, hexagonal axes); the cell edges are 3.0063, 3.0063 and 27.6231 Å and the angles 90.00°, 90.00° and 120.00°. Symmetry generates all atoms from In at (0.0000, 0.0000, 0.0000), In at (0.0000, 0.0000, 0.2365), Ir at (0.0000, 0.0000, 0.7483) and Os at (0.0000, 0.0000, 0.4878).

The total energy comes out at -5.980 eV per atom. The value obtained for the magnetization is 0.000 μB per atom. As for the theoretical density: 14.1 Mg/m³. The energy of formation is 39.7 kJ/mol of atoms. Its crystal system is trigonal.